Compound: LaNdP2
Source: Alexandria
Functional: PBE-GGA
Structure: relaxed

a b c (Å): 7.3144 7.3144 7.3144
angles (deg): 131.84 131.84 70.48
Atoms (fractional coordinates):
La 0.3750 0.6250 0.7500
La 0.6250 0.3750 0.2500
Nd 0.1250 0.8750 0.2500
Nd 0.8750 0.1250 0.7500
P 0.1230 0.3730 0.7500
P 0.3730 0.1230 0.2500
P 0.6270 0.8770 0.7500
P 0.8770 0.6270 0.2500

- SG = No. 141
- total magnetic moment (μB/f.u.) = 0.0
- volume (Å³ per cell) = 213
- energy above the lowest structure with this stoichiometry (meV per atom) = 2
- D(E_F) (states/eV per cell) = 1.78


Compound: CeCoGeH
Source: Alexandria
Functional: PBE-GGA
Structure: relaxed

a b c (Å): 4.2619 4.2619 3.6397
angles (deg): 90.00 90.00 120.00
Atoms (fractional coordinates):
Ce 0.0000 0.0000 0.0000
Co 0.6667 0.3333 0.5000
Ge 0.3333 0.6667 0.5000
H 0.6667 0.3333 0.0000

- SG = No. 187
- total magnetic moment (μB/f.u.) = 0.0
- volume (Å³ per cell) = 57
- energy above the lowest structure with this stoichiometry (meV per atom) = 19
- D(E_F) (states/eV per cell) = 4.36


Compound: AlFeIr2
Source: Alexandria
Functional: PBE-GGA
Structure: relaxed

a b c (Å): 8.3676 8.3676 8.3676
angles (deg): 19.29 19.29 19.29
Atoms (fractional coordinates):
Al 0.0000 0.0000 0.0000
Fe 0.5000 0.5000 0.5000
Ir 0.2510 0.2510 0.2510
Ir 0.7490 0.7490 0.7490

- uncorrected energy (eV per cell) = -31.15
- SG = No. 166
- total magnetic moment (μB/f.u.) = 3.1
- volume (Å³ per cell) = 56
- D(E_F) (states/eV per cell) = 3.96


Compound: AuSeBr2
Source: Alexandria
Functional: PBE-GGA
Structure: relaxed

a b c (Å): 8.5969 8.5969 8.5969
angles (deg): 27.43 27.43 27.43
Atoms (fractional coordinates):
Au 0.0000 0.0000 0.0000
Se 0.5000 0.5000 0.5000
Br 0.3968 0.3968 0.3968
Br 0.6032 0.6032 0.6032

- SG = No. 166
- total magnetic moment (μB/f.u.) = 0.0
- volume (Å³ per cell) = 119
- energy above the lowest structure with this stoichiometry (meV per atom) = 298
- D(E_F) (states/eV per cell) = 3.03


Compound: Hg3Ir
Source: Alexandria
Functional: PBE-GGA
Structure: relaxed

a b c (Å): 5.8745 5.8745 5.3118
angles (deg): 90.00 90.00 120.00
Atoms (fractional coordinates):
Hg 0.1693 0.3386 0.2500
Hg 0.1693 0.8307 0.2500
Hg 0.3386 0.1693 0.7500
Hg 0.6614 0.8307 0.2500
Hg 0.8307 0.1693 0.7500
Hg 0.8307 0.6614 0.7500
Ir 0.3333 0.6667 0.7500
Ir 0.6667 0.3333 0.2500

- SG = No. 194
- total magnetic moment (μB/f.u.) = 0.0
- volume (Å³ per cell) = 159
- energy above the lowest structure with this stoichiometry (meV per atom) = 195
- D(E_F) (states/eV per cell) = 3.07